[1]
A relaxed structure of CdPt. Source: Alexandria, functional PBE.

Energy of formation from the pure elements ... -0.313 eV/atom
Space-group type ... P6/mmm (191)

abc: 5.612 5.612 4.618
angles: 90.00 90.00 120.00
Positions (direct):
1 Cd 0.333 0.667 0.500
2 Cd 0.667 0.333 0.500
3 Cd 0.000 0.000 0.000
4 Pt 0.500 0.000 0.000
5 Pt 0.500 0.500 0.000
6 Pt 0.000 0.500 0.000

[2]
A relaxed structure of Li4MgAl. Source: Alexandria, functional PBE.

Energy of formation from the pure elements ... -0.084 eV/atom
Excess energy over the best structure of this formula in the dataset ... 0.000 eV per atom
Space-group type ... C2/m (12)

abc: 4.708 5.440 5.440
angles: 94.78 115.53 115.53
Positions (direct):
1 Li 0.246 0.410 0.580
2 Li 0.246 0.080 0.910
3 Li 0.754 0.920 0.090
4 Li 0.754 0.590 0.420
5 Mg 0.000 0.500 0.000
6 Al 0.500 0.000 0.500

[3]
A relaxed structure of EuHgPb. Source: Alexandria, functional PBE.

Energy of formation from the pure elements ... -0.381 eV/atom
Space-group type ... I4mm (107)

abc: 3.830 3.830 6.648
angles: 106.74 106.74 90.00
Site moments in Bohr magnetons follow the coordinates.
Positions (direct):
1 Pb 0.628 0.628 0.256  0.00
2 Eu 0.939 0.939 0.879  6.87
3 Hg 0.282 0.282 0.565  -0.01

[4]
A relaxed structure of RuCNF2. Source: Alexandria, functional PBE.

Excess energy over the best structure of this formula in the dataset ... 0.728 eV per atom
Space-group type ... P4/mmm (123)

abc: 4.134 4.134 3.719
angles: 90.00 90.00 90.00
Site moments in Bohr magnetons follow the coordinates.
Positions (direct):
1 Ru 0.000 0.000 0.000  0.21
2 C 0.500 0.500 0.500  0.83
3 N 0.000 0.000 0.500  -0.12
4 F 0.000 0.500 0.000  0.01
5 F 0.500 0.000 0.000  0.01

[5]
A relaxed structure of FeNiTeI2. Source: Alexandria, functional PBE.

Excess energy over the best structure of this formula in the dataset ... 0.000 eV per atom
Space-group type ... P4/mmm (123)

abc: 5.238 5.238 5.136
angles: 90.00 90.00 90.00
Site moments in Bohr magnetons follow the coordinates.
Positions (direct):
1 I 0.000 0.500 0.000  0.07
2 I 0.500 0.000 0.000  0.07
3 Ni 0.000 0.000 0.000  0.06
4 Te 0.000 0.000 0.500  0.13
5 Fe 0.500 0.500 0.500  3.39

[6]
A relaxed structure of La2Pm3Nd6Y. Source: Alexandria, functional PBE.

Energy of formation from the pure elements ... 0.015 eV/atom
Space-group type ... C2/m (12)

abc: 6.371 6.371 12.205
angles: 95.04 95.04 119.99
Positions (direct):
1 La 0.333 0.667 0.000
2 La 0.667 0.333 0.000
3 Pm 0.166 0.834 0.500
4 Pm 0.834 0.166 0.500
5 Pm 0.500 0.500 0.500
6 Nd 0.916 0.584 0.748
7 Nd 0.751 0.751 0.252
8 Nd 0.084 0.416 0.252
9 Nd 0.584 0.916 0.748
10 Nd 0.249 0.249 0.748
11 Nd 0.416 0.084 0.252
12 Y 0.000 0.000 0.000

[7]
A relaxed structure of ReAgHg2. Source: Alexandria, functional PBE.

Energy of formation from the pure elements ... 0.658 eV/atom
Excess energy over the best structure of this formula in the dataset ... 0.094 eV per atom
Space-group type ... P4mm (99)

abc: 2.843 2.843 9.486
angles: 90.00 90.00 90.00
Positions (direct):
1 Re 0.000 0.000 0.510
2 Hg 0.000 0.000 0.986
3 Hg 0.500 0.500 0.274
4 Ag 0.500 0.500 0.730

[8]
A relaxed structure of SmAl4Cu8. Source: Alexandria, functional PBE.

Energy of formation from the pure elements ... -0.235 eV/atom
Space-group type ... I4/mmm (139)

abc: 5.072 6.599 6.599
angles: 81.51 67.40 67.40
Positions (direct):
1 Sm 0.000 0.000 0.000
2 Al 0.000 0.000 0.500
3 Al 0.500 0.000 0.500
4 Al 0.000 0.500 0.000
5 Al 0.500 0.500 0.000
6 Cu 0.000 0.353 0.647
7 Cu 0.000 0.647 0.353
8 Cu 0.353 0.647 0.647
9 Cu 0.647 0.353 0.353
10 Cu 0.500 0.779 0.221
11 Cu 0.500 0.221 0.779
12 Cu 0.279 0.221 0.221
13 Cu 0.721 0.779 0.779

Q: Which ρ values were calculated for the entries above? A: 12.16 1.23 10.44 4.31 5.84 6.55 15.06 6.76, in Mg/m³.
Q: Which final energy values were calculated for the entries above? A: -3.791 -2.249 -5.142 -5.110 -3.359 -4.916 -3.318 -4.271, in eV/atom.